The following is a DFT calculation (PBE) of crystalline Gd2MgMn at its relaxed geometry.

POSCAR file:
```
Gd2MgMn
1.0
-0.972 0.179 3.468
2.164 -2.786 0.751
5.881 4.943 1.393
Mn Gd Mg
1 2 1
direct
0.500 0.500 0.000
0.000 0.000 0.221
0.000 0.000 0.779
0.500 0.500 0.500
```

Results
M_tot in μB/atom: 4.3458
Final energy in eV/atom: -9.6308
Relative energy among the computed polymorphs in meV/atom: 28
Space-group type: P4/mmm, No. 123
N(E_F) in states/eV/f.u.: 5.17
ΔE_f in kJ per mole of atoms: 9.7